1.
Crystalline ScBe2Cd at its relaxed geometry, computed with PBE-GGA.

Unit cell a=5.305 b=5.305 c=5.305 alpha=147.05 beta=130.19 gamma=61.02
Atoms (fractional coordinates):
1 Sc 0.000 0.000 0.000
2 Be 0.541 0.541 0.000
3 Be 0.720 0.220 0.500
4 Cd 0.285 0.785 0.500

Calculated values
Energy relative to the elements   0.864 eV per formula unit

---

2.
Crystalline Sc2BeCdSi at its relaxed geometry, computed with PBE-GGA.

Unit cell a=4.759 b=4.759 c=4.423 alpha=90.00 beta=90.00 gamma=90.00
Atoms (fractional coordinates):
1 Sc 0.000 0.500 0.000
2 Sc 0.500 0.000 0.000
3 Be 0.000 0.000 0.000
4 Cd 0.000 0.000 0.500
5 Si 0.500 0.500 0.500

Calculated values
ΔE_f (raw)   0.86 eV per formula unit

---

3.
Crystalline SmScBeCd at its relaxed geometry, computed with PBE-GGA.

Unit cell a=5.006 b=5.006 c=5.006 alpha=60.00 beta=60.00 gamma=60.00
Atoms (fractional coordinates):
1 Sm 0.000 0.000 0.000
2 Sc 0.500 0.500 0.500
3 Be 0.750 0.750 0.750
4 Cd 0.250 0.250 0.250

Calculated values
Energy relative to the elements   -0.072 eV per formula unit

---

4.
Crystalline TbScBeCd at its relaxed geometry, computed with PBE-GGA.

Unit cell a=4.958 b=4.958 c=4.958 alpha=60.00 beta=60.00 gamma=60.00
Atoms (fractional coordinates):
1 Tb 0.000 0.000 0.000
2 Sc 0.500 0.500 0.500
3 Be 0.750 0.750 0.750
4 Cd 0.250 0.250 0.250

Calculated values
Energy relative to the elements   -0.167 eV per formula unit

---

5.
Crystalline TmScBeCd at its relaxed geometry, computed with PBE-GGA.

Unit cell a=4.906 b=4.906 c=4.906 alpha=60.00 beta=60.00 gamma=60.00
Atoms (fractional coordinates):
1 Tm 0.000 0.000 0.000
2 Sc 0.500 0.500 0.500
3 Be 0.750 0.750 0.750
4 Cd 0.250 0.250 0.250

Calculated values
Energy relative to the elements   -0.222 eV per formula unit

---

6.
Crystalline YScBeCd at its relaxed geometry, computed with PBE-GGA.

Unit cell a=4.951 b=4.951 c=4.951 alpha=60.00 beta=60.00 gamma=60.00
Atoms (fractional coordinates):
1 Y 0.000 0.000 0.000
2 Sc 0.500 0.500 0.500
3 Be 0.750 0.750 0.750
4 Cd 0.250 0.250 0.250

Calculated values
Energy relative to the elements   -0.236 eV per formula unit

---

7.
Crystalline ScBeZnCd at its relaxed geometry, computed with PBE-GGA.

Unit cell a=4.522 b=4.522 c=4.522 alpha=60.00 beta=60.00 gamma=60.00
Atoms (fractional coordinates):
1 Sc 0.000 0.000 0.000
2 Be 0.750 0.750 0.750
3 Zn 0.250 0.250 0.250
4 Cd 0.500 0.500 0.500

Calculated values
Energy relative to the elements   -0.275 eV per formula unit

---

8.
Crystalline ZrScBeCd2 at its relaxed geometry, computed with PBE-GGA.

Unit cell a=5.335 b=5.335 c=4.850 alpha=90.00 beta=90.00 gamma=90.00
Atoms (fractional coordinates):
1 Zr 0.000 0.000 0.000
2 Sc 0.000 0.000 0.500
3 Be 0.500 0.500 0.000
4 Cd 0.000 0.500 0.500
5 Cd 0.500 0.000 0.500

Calculated values
Energy relative to the elements   6.660 eV per formula unit

---

9.
Crystalline BeCd2Se at its relaxed geometry, computed with PBE-GGA.

Unit cell a=7.390 b=7.390 c=7.390 alpha=154.60 beta=152.58 gamma=37.72
Atoms (fractional coordinates):
1 Be 0.000 0.000 0.000
2 Cd 0.182 0.682 0.500
3 Cd 0.818 0.318 0.500
4 Se 0.500 0.500 0.000

Calculated values
ΔE_f (raw)   0.30 eV per formula unit

---

10.
Crystalline BeCd2Se at its relaxed geometry, computed with PBE-GGA.

Unit cell a=4.144 b=4.302 c=4.461 alpha=90.00 beta=90.00 gamma=90.00
Atoms (fractional coordinates):
1 Be 0.000 0.000 0.000
2 Cd 0.000 0.500 0.500
3 Cd 0.500 0.000 0.500
4 Se 0.500 0.500 0.000

Calculated values
ΔE_f (raw)   1.69 eV per formula unit

---

11.
Crystalline BeCd2Se at its relaxed geometry, computed with PBE-GGA.

Unit cell a=5.670 b=5.670 c=5.670 alpha=145.67 beta=113.08 gamma=77.42
Atoms (fractional coordinates):
1 Be 0.000 0.000 0.000
2 Cd 0.233 0.733 0.500
3 Cd 0.519 0.519 0.000
4 Se 0.855 0.355 0.500

Calculated values
ΔE_f (raw)   0.33 eV per formula unit

---

12.
Crystalline BeCdSe2 at its relaxed geometry, computed with PBE-GGA.

Unit cell a=5.937 b=5.937 c=5.937 alpha=108.78 beta=108.78 gamma=110.87
Atoms (fractional coordinates):
1 Be 0.250 0.250 0.000
2 Be 0.750 0.750 0.000
3 Cd 0.250 0.750 0.500
4 Cd 0.750 0.250 0.500
5 Se 0.212 0.712 0.924
6 Se 0.288 0.212 0.500
7 Se 0.712 0.788 0.500
8 Se 0.788 0.288 0.076

Calculated values
ΔE_f (raw)   1.04 eV per formula unit

---

13.
Crystalline BeCd2Se at its relaxed geometry, computed with PBE-GGA.

Unit cell a=6.566 b=6.566 c=6.566 alpha=146.17 beta=146.17 gamma=48.59
Atoms (fractional coordinates):
1 Be 0.000 0.000 0.000
2 Cd 0.250 0.750 0.500
3 Cd 0.500 0.500 0.000
4 Se 0.750 0.250 0.500

Calculated values
ΔE_f (raw)   1.41 eV per formula unit

---

14.
Crystalline BeCd2Se at its relaxed geometry, computed with PBE-GGA.

Unit cell a=7.985 b=7.985 c=7.985 alpha=24.94 beta=24.94 gamma=24.94
Atoms (fractional coordinates):
1 Be 0.000 0.000 0.000
2 Cd 0.257 0.257 0.257
3 Cd 0.743 0.743 0.743
4 Se 0.500 0.500 0.500

Calculated values
ΔE_f (raw)   1.05 eV per formula unit

---

15.
Crystalline BeCdSe2 at its relaxed geometry, computed with PBE-GGA.

Unit cell a=3.844 b=3.844 c=5.427 alpha=90.00 beta=90.00 gamma=90.00
Atoms (fractional coordinates):
1 Be 0.000 0.000 0.000
2 Cd 0.500 0.500 0.500
3 Se 0.000 0.000 0.500
4 Se 0.500 0.500 0.000

Calculated values
ΔE_f (raw)   -0.63 eV per formula unit

---

16.
Crystalline BeCdSe2 at its relaxed geometry, computed with PBE-GGA.

Unit cell a=6.953 b=6.953 c=4.057 alpha=98.21 beta=98.21 gamma=29.04
Atoms (fractional coordinates):
1 Be 0.000 0.000 0.000
2 Cd 0.222 0.222 0.743
3 Se 0.418 0.418 0.793
4 Se 0.640 0.640 0.193

Calculated values
ΔE_f (raw)   -0.97 eV per formula unit

---

17.
Crystalline Be2CdSe at its relaxed geometry, computed with PBE-GGA.

Unit cell a=6.504 b=6.504 c=6.504 alpha=149.65 beta=149.65 gamma=43.45
Atoms (fractional coordinates):
1 Be 0.000 0.000 0.000
2 Be 0.750 0.250 0.500
3 Cd 0.250 0.750 0.500
4 Se 0.500 0.500 0.000

Calculated values
ΔE_f (raw)   1.71 eV per formula unit

---

18.
Crystalline Be2CdSe at its relaxed geometry, computed with PBE-GGA.

Unit cell a=4.586 b=4.586 c=4.586 alpha=60.00 beta=60.00 gamma=60.00
Atoms (fractional coordinates):
1 Be 0.000 0.000 0.000
2 Be 0.250 0.250 0.250
3 Cd 0.500 0.500 0.500
4 Se 0.750 0.750 0.750

Calculated values
ΔE_f (raw)   3.45 eV per formula unit

---

19.
Crystalline BeCdSe2 at its relaxed geometry, computed with PBE-GGA.

Unit cell a=3.606 b=3.652 c=8.155 alpha=90.00 beta=90.00 gamma=90.00
Atoms (fractional coordinates):
1 Be 0.000 0.000 0.000
2 Cd 0.000 0.500 0.500
3 Se 0.500 0.000 0.500
4 Se 0.500 0.500 0.000

Calculated values
ΔE_f (raw)   0.45 eV per formula unit

---

20.
Crystalline BeCd2Se at its relaxed geometry, computed with PBE-GGA.

Unit cell a=4.883 b=4.883 c=4.883 alpha=60.00 beta=60.00 gamma=60.00
Atoms (fractional coordinates):
1 Be 0.000 0.000 0.000
2 Cd 0.500 0.500 0.500
3 Cd 0.750 0.750 0.750
4 Se 0.250 0.250 0.250

Calculated values
ΔE_f (raw)   2.06 eV per formula unit

---

no.,M_tot (μB per formula unit)
1,0.0
2,0.0
3,0.0
4,0.0
5,0.0
6,0.0
7,0.0
8,0.0
9,0.0
10,0.0
11,0.0
12,0.0
13,0.0
14,0.0
15,0.0
16,0.0
17,0.0
18,0.0
19,0.0
20,0.0